Compound: CaTlRu
Source: the Alexandria database
Functional: PBE-GGA
Structure: optimized geometry

**ρ**: 7.31 Mg/m³
**E_tot**: -4.51 eV per atom
**V**: 157 Å³ per cell
**Symmetry**: P2_1/m, No. 11

Lattice parameters (Å, degrees): 5.5358 4.3410 6.5439 90.00 93.77 90.00
Atoms (fractional coordinates):
Ca 0.0923 0.2500 0.2779
Ca 0.9077 0.7500 0.7221
Tl 0.3568 0.2500 0.8349
Tl 0.6432 0.7500 0.1651
Ru 0.4302 0.7500 0.5487
Ru 0.5698 0.2500 0.4513